Density functional theory data (PBEsol) for a geometry-optimized TlRe3C structure.

a b c (Å): 4.1422 4.1422 4.1422
angles (deg): 90.00 90.00 90.00
Space group Pm-3m (No. 221)
One atom of each set of equivalent atoms:
Tl 0.0000 0.0000 0.0000 (multiplicity 1)
Re 0.0000 0.5000 0.5000 (multiplicity 3)
C 0.5000 0.5000 0.5000 (multiplicity 1)

Values from the calculation:
Energy of formation from the pure elements, meV per atom: 715
Total magnetization, μB/atom: 0.0005
Offset from the most stable computed form, meV per atom: 0

***

Density functional theory data (PBEsol) for a geometry-optimized Tm5Re2C7 structure.

a b c (Å): 7.8810 14.2319 3.3275
angles (deg): 90.00 90.00 90.00
Space group Cmmm (No. 65)
One atom of each set of equivalent atoms:
Tm 0.0000 0.0000 0.0000 (multiplicity 2)
Tm 0.2058 0.3710 0.5000 (multiplicity 8)
Re 0.0000 0.2153 0.0000 (multiplicity 4)
C 0.0000 0.1242 0.5000 (multiplicity 4)
C 0.0000 0.5000 0.0000 (multiplicity 2)
C 0.1724 0.5000 0.0000 (multiplicity 4)
C 0.2500 0.2500 0.0000 (multiplicity 4)

Values from the calculation:
Energy of formation from the pure elements, meV per atom: -485
Total magnetization, μB/atom: 0.0000

***

Density functional theory data (PBEsol) for a geometry-optimized U5Re3C8 structure.

a b c (Å): 11.3108 11.3108 3.1706
angles (deg): 90.00 90.00 90.00
Space group P4/mbm (No. 127)
One atom of each set of equivalent atoms:
U 0.0000 0.5000 0.0000 (multiplicity 2)
U 0.0414 0.2289 0.5000 (multiplicity 8)
Re 0.0000 0.0000 0.0000 (multiplicity 2)
Re 0.2054 0.7054 0.0000 (multiplicity 4)
C 0.0984 0.8488 0.0000 (multiplicity 8)
C 0.1173 0.6173 0.5000 (multiplicity 4)
C 0.1534 0.3466 0.0000 (multiplicity 4)

Values from the calculation:
Energy of formation from the pure elements, meV per atom: -204
Total magnetization, μB/atom: 0.0615

***

For the records above, the corresponding total DFT energy (no corrections) values read -9.7392, -8.9610, -11.3253 eV per atom.